Compound: CsNiTe
Source: Alexandria
Functional: PBE
Structure: optimized geometry

Unit cell a=4.3280 b=4.3280 c=6.0231 alpha=90.00 beta=90.00 gamma=120.00
Sites, in units of the cell vectors:
Cs (0.0000, 0.0000, 0.0000)
Ni (0.6667, 0.3333, 0.5000)
Te (0.3333, 0.6667, 0.5000)

Calculated values
Mass density: 5.42 Mg/m³
DFT total energy: -11.03 eV for the cell shown
E_form (uncorrected): -0.417 eV per atom


Compound: ScFePd2
Source: Alexandria
Functional: PBE
Structure: optimized geometry

Unit cell a=9.2790 b=9.2790 c=9.2790 alpha=155.50 beta=155.50 gamma=34.92
Sites, in units of the cell vectors:
Sc (0.0000, 0.0000, 0.0000)
Sc (0.7500, 0.2500, 0.5000)
Fe (0.2500, 0.7500, 0.5000)
Fe (0.5000, 0.5000, 0.0000)
Pd (0.1377, 0.6250, 0.0127)
Pd (0.3750, 0.3877, 0.5127)
Pd (0.6123, 0.1250, 0.9873)
Pd (0.8750, 0.8623, 0.4873)

Calculated values
Mass density: 7.59 Mg/m³
ΔE_f: -0.3 eV per formula unit
DFT total energy: -51.06 eV for the cell shown


Compound: KRb10Hg3
Source: Alexandria
Functional: PBE
Structure: optimized geometry

Unit cell a=13.9200 b=13.9200 c=13.9200 alpha=60.00 beta=60.00 gamma=60.00
Sites, in units of the cell vectors:
K (0.2500, 0.2500, 0.2500)
K (0.7500, 0.7500, 0.7500)
Rb (0.0000, 0.0000, 0.3343)
Rb (0.0000, 0.0000, 0.6657)
Rb (0.0000, 0.3343, 0.0000)
Rb (0.0000, 0.3343, 0.6657)
Rb (0.0000, 0.6657, 0.0000)
Rb (0.0000, 0.6657, 0.3343)
Rb (0.1582, 0.6139, 0.6139)
Rb (0.3343, 0.0000, 0.0000)
Rb (0.3343, 0.0000, 0.6657)
Rb (0.3343, 0.6657, 0.0000)
Rb (0.3861, 0.3861, 0.3861)
Rb (0.3861, 0.3861, 0.8418)
Rb (0.3861, 0.8418, 0.3861)
Rb (0.6139, 0.1582, 0.6139)
Rb (0.6139, 0.6139, 0.1582)
Rb (0.6139, 0.6139, 0.6139)
Rb (0.6657, 0.0000, 0.0000)
Rb (0.6657, 0.0000, 0.3343)
Rb (0.6657, 0.3343, 0.0000)
Rb (0.8418, 0.3861, 0.3861)
Hg (0.2696, 0.2696, 0.7304)
Hg (0.2696, 0.7304, 0.2696)
Hg (0.2696, 0.7304, 0.7304)
Hg (0.7304, 0.2696, 0.2696)
Hg (0.7304, 0.2696, 0.7304)
Hg (0.7304, 0.7304, 0.2696)

Calculated values
Mass density: 2.60 Mg/m³
ΔE_f: -1.3 eV per formula unit
DFT total energy: -25.94 eV for the cell shown


Compound: BaReSe2
Source: Alexandria
Functional: PBE
Structure: optimized geometry

Unit cell a=6.8606 b=6.8606 c=6.8606 alpha=143.66 beta=143.66 gamma=52.34
Sites, in units of the cell vectors:
Ba (0.0000, 0.0000, 0.0000)
Re (0.2500, 0.7500, 0.5000)
Se (0.5000, 0.5000, 0.0000)
Se (0.7500, 0.2500, 0.5000)

Calculated values
Mass density: 7.09 Mg/m³
DFT total energy: -19.73 eV for the cell shown
E_form (uncorrected): 0.401 eV per atom


- What is the DFT total energy in the third record?
  -25.94 eV for the cell shown